Below is a relaxed CaCo2F8 crystal, with properties calculated at the PBE with a Hubbard U level.

a b c (Å): 6.5033 6.5033 6.5033
angles (deg): 131.48 131.48 71.06
Fractional coordinates of all 11 atoms:
Ca 0.0000 0.0000 0.0000
Co 0.2500 0.7500 0.5000
Co 0.7500 0.2500 0.5000
F 0.0340 0.5485 0.8478
F 0.1862 0.0340 0.4854
F 0.2992 0.4515 0.4854
F 0.4515 0.9660 0.1522
F 0.5485 0.7008 0.5146
F 0.7008 0.1862 0.1522
F 0.8138 0.2992 0.8478
F 0.9660 0.8138 0.5146

Values from the calculation:
Its space-group type is I422, No. 97. Its volume is 13.7 Å³ per atom. The calculation puts the energy at -4.797 eV per atom.